--- w ---
The following is a DFT calculation (PBE) of a relaxed structure of BiOsOF2.

Cell: 4.681 4.681 3.658 Å, 90.00 90.00 90.00°
Fractional coordinates of all 5 atoms:
O 0.000 0.000 0.500
Os 0.000 0.000 0.000
F 0.500 0.000 0.000
F 0.000 0.500 0.000
Bi 0.500 0.500 0.500

Output
Mass density   9.39 g/cm³
Space-group type   P4/mmm


--- x ---
The following is a DFT calculation (PBE) of a relaxed structure of BiOsOF2.

Cell: 4.617 4.617 4.506 Å, 90.00 90.00 90.00°
Fractional coordinates of all 5 atoms:
F 0.000 0.500 0.000
O 0.000 0.000 0.500
Os 0.500 0.500 0.500
F 0.500 0.000 0.000
Bi 0.000 0.000 0.000

Output
Mass density   7.83 g/cm³
Space-group type   P4/mmm


Most stable pick: w. Distance to second place: 574 meV per atom.


--- w ---
The following is a DFT calculation (PBE) of a relaxed structure of BiP2OF.

Cell: 3.936 3.936 5.351 Å, 90.00 90.00 90.00°
Fractional coordinates of all 5 atoms:
F 0.000 0.000 0.000
P 0.000 0.500 0.000
O 0.000 0.000 0.500
P 0.500 0.000 0.000
Bi 0.500 0.500 0.500

Output
Mass density   6.13 g/cm³
Space-group type   P4/mmm


--- x ---
The following is a DFT calculation (PBE) of a relaxed structure of BiP2OF.

Cell: 5.441 5.441 4.215 Å, 90.00 90.00 90.00°
Fractional coordinates of all 5 atoms:
P 0.000 0.500 0.000
O 0.000 0.000 0.500
Bi 0.000 0.000 0.000
P 0.500 0.000 0.000
F 0.500 0.500 0.500

Output
Mass density   4.07 g/cm³
Space-group type   P4/mmm


Most stable pick: w. Distance to second place: 392 meV per atom.